KFeCo4 (PBEsol, optimized geometry); crystal system = cubic; SG = F-43m, No. 216; ΔH_f (0 K) = 0.82 eV per atom; uncorrected energy = -6.020 eV/atom
1.0
0.000 3.439 3.439
3.439 0.000 3.439
3.439 3.439 0.000
K Fe Co
1 1 4
Direct
0.000 0.000 0.000 K
0.250 0.250 0.250 Fe
0.129 0.624 0.624 Co
0.624 0.129 0.624 Co
0.624 0.624 0.129 Co
0.624 0.624 0.624 Co

***

KFe2Co (PBEsol, optimized geometry); crystal system = orthorhombic; SG = Cmmm, No. 65; ΔH_f (0 K) = 1.28 eV per atom; uncorrected energy = -5.419 eV/atom
1.0
2.647 -4.413 0.000
2.647 4.413 0.000
0.000 0.000 2.503
K Fe Co
1 2 1
Direct
0.000 0.000 0.000 K
0.000 0.500 0.500 Fe
0.500 0.000 0.500 Fe
0.500 0.500 0.000 Co

***

K2FeCo (PBEsol, optimized geometry); crystal system = tetragonal; SG = P4/mmm, No. 123; ΔH_f (0 K) = 1.40 eV per atom; uncorrected energy = -3.343 eV/atom
1.0
3.911 0.000 0.000
0.000 3.911 0.000
0.000 0.000 5.352
K Fe Co
2 1 1
Direct
0.000 0.500 0.000 K
0.500 0.000 0.000 K
0.000 0.000 0.500 Fe
0.500 0.500 0.500 Co

***

K2FeCoTe (PBEsol, optimized geometry); crystal system = tetragonal; SG = P4/mmm, No. 123; uncorrected energy = -3.713 eV/atom; uncorrected formation energy = 0.786 eV/atom
1.0
6.115 0.000 0.000
0.000 6.115 0.000
0.000 0.000 4.226
K Fe Co Te
2 1 1 1
Direct
0.000 0.500 0.000 K
0.500 0.000 0.000 K
0.000 0.000 0.000 Fe
0.000 0.000 0.500 Co
0.500 0.500 0.500 Te